# YPuBiPb (PBE-GGA, optimized geometry)
data_YPuBiPb
_cell_length_a 7.7497
_cell_length_b 7.7497
_cell_length_c 7.7497
_cell_angle_alpha 90.00
_cell_angle_beta 90.00
_cell_angle_gamma 90.00
_symmetry_space_group_name_H-M 'F -4 3 m'
_symmetry_Int_Tables_number 216
_symmetry_space_group_name_Hall 'F -4 2 3'
loop_
_atom_site_label
_atom_site_fract_x
_atom_site_fract_y
_atom_site_fract_z
Y1 0.0000 0.0000 0.0000
Pu1 0.0000 0.0000 0.5000
Bi1 0.2500 0.2500 0.7500
Pb1 0.2500 0.2500 0.2500
# Formation enthalpy at 0 K ... -0.3262 eV per atom
# Spin magnetization ... 24.2 μB per cell